No. 1
# ErNi2B2O6, optimized geometry, DFT PBE with a Hubbard U
data_ErNi2B2O6
_space_group_name_H-M_alt 'P -3'
_space_group_IT_number 147
_space_group_name_Hall '-P 3'
_cell_length_a 5.0537
_cell_length_b 5.0537
_cell_length_c 5.9015
_cell_angle_alpha 90.00
_cell_angle_beta 90.00
_cell_angle_gamma 120.00
loop_
_atom_site_label
_atom_site_type_symbol
_atom_site_fract_x
_atom_site_fract_y
_atom_site_fract_z
_atom_site_occupancy
Er1 Er 0.0000 0.0000 0.0000 1
Ni1 Ni 0.3333 0.6667 0.3254 1
B1 B 0.3333 0.6667 0.7692 1
O1 O 0.0652 0.6789 0.7707 1
# crystal system	trigonal
# DFT total energy	-6.81	eV per atom
# volume	11.9	A^3/atom

No. 2
# ErNiBO4, optimized geometry, DFT PBE with a Hubbard U
data_ErNiBO4
_space_group_name_H-M_alt 'I m m a'
_space_group_IT_number 74
_space_group_name_Hall '-I 2b 2'
_cell_length_a 5.704
_cell_length_b 6.053
_cell_length_c 8.033
_cell_angle_alpha 90.00
_cell_angle_beta 90.00
_cell_angle_gamma 90.00
loop_
_atom_site_label
_atom_site_type_symbol
_atom_site_fract_x
_atom_site_fract_y
_atom_site_fract_z
_atom_site_occupancy
Er1 Er 0.000 0.000 0.000 1
Ni1 Ni 0.250 0.250 0.250 1
B1 B 0.000 0.250 0.615 1
O1 O 0.000 0.038 0.727 1
O2 O 0.218 0.250 0.505 1
# crystal system	orthorhombic
# DFT total energy	-6.90	eV per atom
# volume	9.9	A^3/atom

- Look up the DFT total energy of the first one.
  -6.81 eV per atom